# 1
DFT (PBE-GGA) results for a relaxed structure of LiPrAg.

Computed properties:
magnetic moment: 0.00 μB per formula unit
DFT total energy: -9.93 eV per formula unit
space-group type: P-6m2, No. 187
energy above the most stable polymorph in this dataset: 15.5 meV per atom
ΔE_f: -0.130 eV per atom
theoretical density: 5.9 Mg/m³

The structure in POSCAR format:
```
LiPrAg
1.0
4.7760 0.0000 0.0000
-2.3880 4.1361 0.0000
0.0000 0.0000 3.6425
Li Pr Ag
1 1 1
direct
0.0000 0.0000 0.0000
0.6667 0.3333 0.5000
0.3333 0.6667 0.0000
```

# 2
DFT (PBE-GGA) results for a relaxed structure of NpTe6Pd5.

Computed properties:
formation energy without anion corrections: -0.3424 eV per atom
magnetic moment: 3.85 μB per formula unit
DFT total energy: -61.86 eV per formula unit
space-group type: C2/m, No. 12
theoretical density: 9.2 Mg/m³

The structure in POSCAR format:
```
NpTe6Pd5
1.0
3.5144 -5.9432 0.0000
3.5144 5.9432 0.0000
-2.2446 0.0000 6.6626
Np Te Pd
1 6 5
direct
0.0000 0.0000 0.0000
0.0914 0.4523 0.2616
0.2755 0.2755 0.7421
0.4523 0.0914 0.2616
0.5477 0.9086 0.7384
0.7245 0.7245 0.2579
0.9086 0.5477 0.7384
0.1499 0.8501 0.5000
0.3297 0.6703 0.0000
0.5000 0.5000 0.5000
0.6703 0.3297 0.0000
0.8501 0.1499 0.5000
```

# 3
DFT (PBE-GGA) results for a relaxed structure of ZrBe2Tc2.

Computed properties:
magnetic moment: 0.00 μB per formula unit
DFT total energy: -38.29 eV per formula unit
space-group type: P4/mbm, No. 127
energy above the most stable polymorph in this dataset: 0.0 meV per atom
ΔE_f: -0.311 eV per atom
theoretical density: 7.7 Mg/m³

The structure in POSCAR format:
```
ZrBe2Tc2
1.0
6.3758 0.0000 0.0000
0.0000 6.3758 0.0000
0.0000 0.0000 3.2434
Zr Be Tc
2 4 4
direct
0.0000 0.0000 0.0000
0.5000 0.5000 0.0000
0.1132 0.3868 0.0000
0.3868 0.8868 0.0000
0.6132 0.1132 0.0000
0.8868 0.6132 0.0000
0.1725 0.6725 0.5000
0.3275 0.1725 0.5000
0.6725 0.8275 0.5000
0.8275 0.3275 0.5000
```